# 1
Entry from the Alexandria database: a relaxed structure of Cs2PuZnCl6 (PBE-GGA).

```
10
Lattice="7.6662 0.0000 0.0000 -3.8331 6.6391 0.0000 0.0000 0.0000 6.5030" Properties=species:S:1:pos:R:3 pbc="T T T"
Cs 0.0000 4.4261 1.4226
Cs 3.8331 2.2130 5.0804
Pu 0.0000 0.0000 3.2515
Zn 0.0000 0.0000 0.0000
Cl 0.0000 2.1657 4.9994
Cl -1.9575 5.5563 4.9994
Cl 1.8756 1.0829 1.5035
Cl 1.9575 5.5563 4.9994
Cl 5.7907 1.0829 1.5035
Cl 3.8331 4.4734 1.5035
```

The total moment is 5.773 Bohr magnetons per cell. Its raw total energy is -44.88 eV per cell. As for the density of states at the Fermi level: 14.155 states/eV/cell. The formation energy from raw total energies is -1.6490 eV/atom.



# 2
Entry from the Alexandria database: a relaxed structure of CsPuZnCl6 (PBE-GGA).

```
9
Lattice="6.9182 0.0000 0.0000 -3.4591 5.9913 0.0000 0.0000 0.0000 7.6656" Properties=species:S:1:pos:R:3 pbc="T T T"
Cs 0.0000 0.0000 0.0000
Pu 0.0000 3.9942 3.8328
Zn 3.4591 1.9971 3.8328
Cl 2.6088 0.1452 5.2987
Cl 1.4302 2.1867 2.3669
Cl 4.3094 0.1452 2.3669
Cl 2.2805 3.6594 5.2987
Cl 5.4880 2.1867 5.2987
Cl 4.6377 3.6594 2.3669
```

The total moment is 5.000 Bohr magnetons per cell. Its raw total energy is -42.53 eV per cell. As for the density of states at the Fermi level: 10.051 states/eV/cell. The formation energy from raw total energies is -1.6654 eV/atom.



# 3
Entry from the Alexandria database: a relaxed structure of Cs3Rb2Cl (PBE-GGA).

```
12
Lattice="8.2636 -7.5586 0.0000 8.2636 7.5586 0.0000 -1.4402 0.0000 8.5928" Properties=species:S:1:pos:R:3 pbc="T T T"
Cs 7.1834 4.5168 6.4446
Cs 5.6407 1.2646 3.3674
Cs 4.9206 -1.2646 7.6638
Cs 10.1664 1.2646 0.9289
Cs 9.4462 -1.2646 5.2253
Cs 7.9035 -4.5168 2.1482
Rb 1.2970 1.7300 7.0828
Rb 2.0171 -1.7300 2.7865
Rb 13.0698 1.7300 5.8063
Rb 13.7899 -1.7300 1.5099
Cl 7.1834 1.0320 6.4446
Cl 7.9035 -1.0320 2.1482
```

The total moment is 0.000 Bohr magnetons per cell. Its raw total energy is -19.80 eV per cell. As for the density of states at the Fermi level: 9.177 states/eV/cell. The formation energy from raw total energies is -0.5927 eV/atom.



# 4
Entry from the Alexandria database: a relaxed structure of Cs3RbCl (PBE-GGA).

```
5
Lattice="8.6612 0.0000 0.0000 0.0000 8.6612 0.0000 0.0000 0.0000 8.6612" Properties=species:S:1:pos:R:3 pbc="T T T"
Cs 0.0000 0.0000 4.3306
Cs 0.0000 4.3306 0.0000
Cs 4.3306 0.0000 0.0000
Rb 0.0000 0.0000 0.0000
Cl 4.3306 4.3306 4.3306
```

The total moment is 0.998 Bohr magnetons per cell. Its raw total energy is -6.24 eV per cell. As for the density of states at the Fermi level: 4.217 states/eV/cell. The formation energy from raw total energies is -0.1733 eV/atom. For the distance to the lowest polymorph of the same formula, the calculation gives 573 meV/atom.



# 5
Entry from the Alexandria database: a relaxed structure of Cs4RbCl4 (PBE-GGA).

```
9
Lattice="8.4118 -2.4713 0.0000 8.4118 2.4713 0.0000 -6.2946 0.0000 10.6723" Properties=species:S:1:pos:R:3 pbc="T T T"
Cs -0.6612 0.0000 4.1681
Cs 3.8560 0.0000 2.0623
Cs 6.6730 0.0000 8.6100
Cs 11.1902 0.0000 6.5042
Rb 8.4118 0.0000 0.0000
Cl -4.1297 0.0000 9.6734
Cl 0.5790 0.0000 7.5799
Cl 9.9500 0.0000 3.0924
Cl 14.6588 0.0000 0.9989
```

The total moment is 0.164 Bohr magnetons per cell. Its raw total energy is -27.16 eV per cell. As for the density of states at the Fermi level: 1.885 states/eV/cell. The formation energy from raw total energies is -1.7100 eV/atom.



# 6
Entry from the Alexandria database: a relaxed structure of Cs2Rb2Cl (PBE-GGA).

```
10
Lattice="-3.1423 3.1423 20.7755 3.1423 -3.1423 20.7755 3.1423 3.1423 -20.7755" Properties=species:S:1:pos:R:3 pbc="T T T"
Cs 3.1423 1.5711 -6.5827
Cs 0.0000 1.5711 3.8051
Cs 3.1423 1.5711 16.9705
Cs 0.0000 1.5711 27.3582
Rb 3.1423 1.5711 -1.6146
Rb 0.0000 1.5711 8.7731
Rb 3.1423 1.5711 12.0024
Rb 0.0000 1.5711 22.3902
Cl 3.1423 -1.5711 15.5817
Cl 0.0000 4.7134 5.1939
```

The total moment is 0.000 Bohr magnetons per cell. Its raw total energy is -17.67 eV per cell. As for the density of states at the Fermi level: 6.895 states/eV/cell. The formation energy from raw total energies is -0.6688 eV/atom. For the distance to the lowest polymorph of the same formula, the calculation gives 0 meV/atom.



# 7
Entry from the Alexandria database: a relaxed structure of CsRb4Cl4 (PBE-GGA).

```
9
Lattice="8.1351 -2.3910 0.0000 8.1351 2.3910 0.0000 -6.0305 0.0000 10.3634" Properties=species:S:1:pos:R:3 pbc="T T T"
Cs 0.0000 0.0000 0.0000
Rb -1.5557 0.0000 8.3203
Rb 2.7859 0.0000 6.2703
Rb 7.4538 0.0000 4.0931
Rb 11.7954 0.0000 2.0432
Cl 1.4951 0.0000 3.1597
Cl 5.8146 0.0000 1.0733
Cl 4.4251 0.0000 9.2902
Cl 8.7446 0.0000 7.2038
```

The total moment is 0.032 Bohr magnetons per cell. Its raw total energy is -27.36 eV per cell. As for the density of states at the Fermi level: 1.958 states/eV/cell. The formation energy from raw total energies is -1.6947 eV/atom.



# 8
Entry from the Alexandria database: a relaxed structure of Cs2Rb2Cl (PBE-GGA).

```
10
Lattice="9.3302 0.0000 0.0000 0.0000 9.3302 0.0000 0.0000 0.0000 9.6376" Properties=species:S:1:pos:R:3 pbc="T T T"
Cs 1.7042 2.9609 0.0000
Cs 2.9609 7.6260 0.0000
Cs 6.3693 1.7042 0.0000
Cs 7.6260 6.3693 0.0000
Rb 1.9469 6.6120 4.8188
Rb 2.7182 1.9469 4.8188
Rb 6.6120 7.3833 4.8188
Rb 7.3833 2.7182 4.8188
Cl 0.0000 0.0000 4.8188
Cl 4.6651 4.6651 4.8188
```

The total moment is 0.000 Bohr magnetons per cell. Its raw total energy is -17.10 eV per cell. As for the density of states at the Fermi level: 9.985 states/eV/cell. The formation energy from raw total energies is -0.6125 eV/atom. For the distance to the lowest polymorph of the same formula, the calculation gives 56 meV/atom.



# 9
Entry from the Alexandria database: a relaxed structure of Cs8RbCl4 (PBE-GGA).

```
13
Lattice="-9.2608 9.2608 2.5450 9.2608 -9.2608 2.5450 9.2608 9.2608 -2.5450" Properties=species:S:1:pos:R:3 pbc="T T T"
Cs 12.3054 0.6983 0.0000
Cs 12.0639 5.7342 0.0000
Cs 0.6983 6.2162 0.0000
Cs 5.7342 6.4577 0.0000
Cs 3.5266 2.8031 2.5450
Cs 8.5625 3.0446 2.5450
Cs -2.8031 3.5266 2.5450
Cs -3.0446 8.5625 2.5450
Rb 0.0000 0.0000 0.0000
Cl 6.0208 2.9190 0.0000
Cl 6.3418 -3.2400 2.5450
Cl 2.9190 12.5008 0.0000
Cl 3.2400 6.3418 2.5450
```

The total moment is 0.025 Bohr magnetons per cell. Its raw total energy is -30.16 eV per cell. As for the density of states at the Fermi level: 6.727 states/eV/cell. The formation energy from raw total energies is -1.1519 eV/atom.



# 10
Entry from the Alexandria database: a relaxed structure of Cs2RbCl (PBE-GGA).

```
12
Lattice="5.0960 0.0000 0.0000 -2.5480 4.4133 0.0000 0.0000 0.0000 38.8792" Properties=species:S:1:pos:R:3 pbc="T T T"
Cs 0.0000 0.0000 8.5150
Cs 0.0000 0.0000 30.3641
Cs 0.0000 2.9422 17.4044
Cs 0.0000 2.9422 34.4345
Cs 2.5480 1.4711 4.4447
Cs 2.5480 1.4711 21.4747
Rb 0.0000 0.0000 0.0000
Rb 0.0000 2.9422 25.9195
Rb 2.5480 1.4711 12.9597
Cl 0.0000 0.0000 19.4396
Cl 0.0000 2.9422 6.4799
Cl 2.5480 1.4711 32.3993
```

The total moment is 0.000 Bohr magnetons per cell. Its raw total energy is -24.90 eV per cell. As for the density of states at the Fermi level: 5.883 states/eV/cell. The formation energy from raw total energies is -0.9445 eV/atom. For the distance to the lowest polymorph of the same formula, the calculation gives 0 meV/atom.



# 11
Entry from the Alexandria database: a relaxed structure of Cs8Rb2Cl (PBE-GGA).

```
11
Lattice="5.6701 -12.1880 0.0000 5.6701 12.1880 0.0000 -5.0922 0.0000 7.7181" Properties=species:S:1:pos:R:3 pbc="T T T"
Cs 0.0000 0.0000 0.0000
Cs 3.1919 9.7763 4.4090
Cs 5.5597 2.3574 1.1495
Cs 2.7487 0.0000 4.4683
Cs 4.4860 5.0241 6.4680
Cs 5.5597 -2.3574 1.1495
Cs 3.1919 -9.7763 4.4090
Cs 4.4860 -5.0241 6.4680
Rb 1.4210 4.9207 2.5358
Rb 1.4210 -4.9207 2.5358
Cl 6.2824 0.0000 3.8819
```

The total moment is 0.000 Bohr magnetons per cell. Its raw total energy is -14.11 eV per cell. As for the density of states at the Fermi level: 9.959 states/eV/cell. The formation energy from raw total energies is -0.3180 eV/atom.